Below is a relaxed PaBe2NiO6 crystal, with properties calculated at the PBE with a Hubbard U level.

Cell: 4.9176 4.9176 15.2028 Å, 90.00 90.00 120.00°
Space group R-3 (No. 148, hexagonal axes)
Symmetry-distinct sites (fractional):
Pa 0.0000 0.0000 0.0000 [3 per cell]
Be 0.0000 0.0000 0.2334 [6 per cell]
Ni 0.0000 0.0000 0.5000 [3 per cell]
O 0.0106 0.3575 0.9108 [18 per cell]

Calculated values
**DFT total energy**: -218.1 eV/cell